Entry 1:
DyCoSi3 | PBE | optimized geometry

Unit cell a=3.873 b=8.094 c=10.006 alpha=90.00 beta=90.00 gamma=90.00
Sites, in units of the cell vectors:
Co1 0.750 0.916 0.348
Co2 0.750 0.416 0.152
Co3 0.250 0.084 0.652
Co4 0.250 0.584 0.848
Si1 0.750 0.197 0.745
Si2 0.250 0.545 0.082
Si3 0.250 0.045 0.418
Si4 0.250 0.883 0.820
Si5 0.250 0.303 0.245
Si6 0.250 0.803 0.255
Si7 0.750 0.617 0.320
Si8 0.250 0.383 0.680
Si9 0.750 0.455 0.918
Si10 0.750 0.955 0.582
Si11 0.750 0.117 0.180
Si12 0.750 0.697 0.755
Dy1 0.750 0.806 0.037
Dy2 0.250 0.194 0.963
Dy3 0.250 0.694 0.537
Dy4 0.750 0.306 0.463

## Properties
The value obtained for the size of the total moment is 0.00 μB per formula unit. As for the total energy: -6.229 eV per atom. For the mass density, the calculation gives 6.47 g cm⁻³.



Entry 2:
ThAlCuPt3 | PBE | optimized geometry

Unit cell a=5.971 b=5.684 c=7.084 alpha=113.65 beta=90.00 gamma=90.00
Sites, in units of the cell vectors:
Th1 0.250 0.678 0.355
Th2 0.750 0.322 0.645
Pt1 0.750 0.808 0.616
Pt2 0.000 0.754 0.000
Pt3 0.500 0.754 0.000
Pt4 0.500 0.246 0.000
Pt5 0.250 0.192 0.384
Pt6 0.000 0.246 0.000
Al1 0.250 0.385 0.770
Al2 0.750 0.615 0.230
Cu1 0.250 0.884 0.768
Cu2 0.750 0.116 0.232

## Properties
The value obtained for the size of the total moment is 0.00 μB per formula unit. As for the total energy: -6.295 eV per atom. The formation energy comes out at -0.73 eV/atom. For the mass density, the calculation gives 13.69 g cm⁻³.



Entry 3:
YPt2Pb | PBE | optimized geometry

Unit cell a=4.273 b=3.947 c=5.613 alpha=69.65 beta=90.00 gamma=90.00
Sites, in units of the cell vectors:
Pb1 0.500 0.769 0.836
Pt1 0.500 0.036 0.301
Pt2 0.000 0.208 0.960
Y1 0.000 0.486 0.403

## Properties
The value obtained for the size of the total moment is 0.00 μB per formula unit. As for the total energy: -6.313 eV per atom. The formation energy comes out at -0.75 eV/atom. For the mass density, the calculation gives 12.84 g cm⁻³.



Entry 4:
CoCuOs2 | PBE | optimized geometry

Unit cell a=2.658 b=4.634 c=5.245 alpha=54.20 beta=90.00 gamma=90.00
Each line ends with the local moment (μB).
Sites, in units of the cell vectors:
Os1 0.500 0.500 0.000  0.10
Os2 0.000 0.000 0.000  0.04
Co1 0.500 0.500 0.500  1.17
Cu1 0.000 0.000 0.500  0.07

## Properties
The value obtained for the size of the total moment is 1.36 μB per formula unit. The value obtained for the relative energy among the computed polymorphs is 0.099 eV per atom. As for the total energy: -8.085 eV per atom. The formation energy comes out at 0.33 eV/atom. For the mass density, the calculation gives 15.94 g cm⁻³.



Entry 5:
Ta2Pd3Au6 | PBE | optimized geometry

Unit cell a=3.889 b=3.889 c=13.882 alpha=98.05 beta=98.05 gamma=90.00
Sites, in units of the cell vectors:
Au1 0.928 0.428 0.856
Au2 0.428 0.928 0.856
Au3 0.755 0.755 0.511
Au4 0.072 0.572 0.144
Au5 0.572 0.072 0.144
Au6 0.245 0.245 0.489
Pd1 0.854 0.854 0.708
Pd2 0.000 0.000 0.000
Pd3 0.146 0.146 0.292
Ta1 0.657 0.657 0.313
Ta2 0.343 0.343 0.687

## Properties
The value obtained for the size of the total moment is 0.00 μB per formula unit. As for the total energy: -5.206 eV per atom. The formation energy comes out at 0.15 eV/atom. For the mass density, the calculation gives 15.03 g cm⁻³.



Entry 6:
CaP | PBE | optimized geometry

Unit cell a=6.019 b=6.019 c=5.657 alpha=90.00 beta=90.00 gamma=90.00
Sites, in units of the cell vectors:
Ca1 0.705 0.295 0.500
Ca2 0.295 0.705 0.500
Ca3 0.795 0.795 0.000
Ca4 0.205 0.205 0.000
P1 0.361 0.639 0.000
P2 0.139 0.139 0.500
P3 0.639 0.361 0.000
P4 0.861 0.861 0.500

## Properties
The value obtained for the size of the total moment is 0.00 μB per formula unit. As for the total energy: -4.538 eV per atom. The formation energy comes out at -0.83 eV/atom. For the mass density, the calculation gives 2.30 g cm⁻³.



Entry 7:
Li2NdDyHg4 | PBE | optimized geometry

Unit cell a=5.074 b=5.074 c=8.838 alpha=73.32 beta=73.32 gamma=60.00
Sites, in units of the cell vectors:
Hg1 0.127 0.127 0.619
Hg2 0.378 0.378 0.866
Hg3 0.622 0.622 0.134
Hg4 0.873 0.873 0.381
Nd1 0.000 0.000 0.000
Dy1 0.500 0.500 0.500
Li1 0.248 0.248 0.255
Li2 0.752 0.752 0.745

## Properties
The value obtained for the size of the total moment is 0.00 μB per formula unit. As for the total energy: -2.246 eV per atom. The formation energy comes out at -0.45 eV/atom. For the mass density, the calculation gives 10.03 g cm⁻³.



Entry 8:
PrNd4Te6 | PBE | optimized geometry

Unit cell a=4.402 b=7.689 c=22.909 alpha=90.00 beta=90.00 gamma=106.63
Sites, in units of the cell vectors:
Te1 0.315 0.630 0.250
Te2 0.232 0.464 0.906
Te3 0.056 0.113 0.166
Te4 0.944 0.887 0.834
Te5 0.685 0.370 0.750
Te6 0.944 0.887 0.666
Te7 0.768 0.536 0.406
Te8 0.768 0.536 0.094
Te9 0.500 0.000 0.500
Te10 0.232 0.464 0.594
Te11 0.056 0.113 0.334
Te12 0.500 0.000 0.000
Nd1 0.586 0.173 0.626
Nd2 0.143 0.287 0.036
Nd3 0.414 0.827 0.126
Nd4 0.857 0.713 0.964
Nd5 0.857 0.713 0.536
Nd6 0.143 0.287 0.464
Nd7 0.414 0.827 0.374
Nd8 0.586 0.173 0.874
Pr1 0.344 0.687 0.750
Pr2 0.656 0.313 0.250

## Properties
The value obtained for the size of the total moment is 0.00 μB per formula unit. As for the total energy: -5.327 eV per atom. For the mass density, the calculation gives 6.63 g cm⁻³.



Which of these has the highest mass density?
CoCuOs2